No. 1
K2AcSbS4 (PBE, relaxed); SG = No. 74; crystal system = orthorhombic
1.0
-4.2482 4.4259 6.1192
4.2482 -4.4259 6.1192
4.2482 4.4259 -6.1192
K Ac Sb S
4 2 2 8
Direct
0.0000 0.0000 0.0000
0.5000 0.0000 0.0000
0.5000 0.0000 0.5000
0.5000 0.5000 0.5000
0.0000 0.5000 0.5000
0.5000 0.5000 0.0000
0.0000 0.0000 0.5000
0.0000 0.5000 0.0000
0.2084 0.7428 0.4656
0.2227 0.2572 0.9656
0.2311 0.2477 0.5166
0.2311 0.7144 0.9834
0.7689 0.2856 0.0166
0.7689 0.7523 0.4834
0.7773 0.7428 0.0344
0.7916 0.2572 0.5344

No. 2
K3Ac2ScS6 (PBE, relaxed); SG = No. 12; crystal system = monoclinic; N(E_F) = 0.00 states/eV/atom
1.0
3.6738 -6.3660 0.0000
3.6738 6.3660 0.0000
-2.4620 0.0000 7.4016
K Ac Sc S
3 2 1 6
Direct
0.0000 0.0000 0.0000
0.3345 0.6655 0.0000
0.6655 0.3345 0.0000
0.1667 0.8333 0.5000
0.8333 0.1667 0.5000
0.5000 0.5000 0.5000
0.1284 0.4314 0.2943
0.2659 0.2659 0.7031
0.4314 0.1284 0.2943
0.5686 0.8716 0.7057
0.7341 0.7341 0.2969
0.8716 0.5686 0.7057

No. 3
KAcSeS (PBE, relaxed); SG = No. 216; crystal system = cubic; distance to the lowest polymorph of the same formula = 238.8 meV per atom; N(E_F) = 0.00 states/eV/atom
1.0
7.5467 0.0000 0.0000
0.0000 7.5467 0.0000
0.0000 0.0000 7.5467
K Ac Se S
4 4 4 4
Direct
0.0000 0.0000 0.0000
0.0000 0.5000 0.5000
0.5000 0.0000 0.5000
0.5000 0.5000 0.0000
0.0000 0.0000 0.5000
0.0000 0.5000 0.0000
0.5000 0.0000 0.0000
0.5000 0.5000 0.5000
0.2500 0.2500 0.2500
0.2500 0.7500 0.7500
0.7500 0.2500 0.7500
0.7500 0.7500 0.2500
0.2500 0.2500 0.7500
0.2500 0.7500 0.2500
0.7500 0.2500 0.2500
0.7500 0.7500 0.7500

No. 4
KAcSeS (PBE, relaxed); SG = No. 160; crystal system = trigonal; distance to the lowest polymorph of the same formula = 0.0 meV per atom; N(E_F) = 0.00 states/eV/atom
1.0
4.5048 0.0000 0.0000
-2.2524 3.9013 0.0000
0.0000 0.0000 22.7504
K Ac Se S
3 3 3 3
Direct
0.0000 0.0000 0.0000
0.3333 0.6667 0.6667
0.6667 0.3333 0.3333
0.0000 0.0000 0.4952
0.3333 0.6667 0.1618
0.6667 0.3333 0.8285
0.0000 0.0000 0.2385
0.3333 0.6667 0.9052
0.6667 0.3333 0.5719
0.0000 0.0000 0.7614
0.3333 0.6667 0.4281
0.6667 0.3333 0.0948

No. 5
KAc2Se6S2 (PBE, relaxed); SG = No. 2; crystal system = triclinic; N(E_F) = 0.30 states/eV/atom
1.0
4.7525 0.0000 0.0000
-0.3581 8.6850 0.0000
-0.8207 -2.8471 8.8584
K Ac Se S
1 2 6 2
Direct
0.0000 0.0000 0.0000
0.2398 0.5755 0.3270
0.7602 0.4245 0.6730
0.1303 0.3604 0.9651
0.2074 0.1338 0.5859
0.2773 0.6482 0.6724
0.7227 0.3518 0.3276
0.7926 0.8662 0.4141
0.8697 0.6396 0.0349
0.4280 0.1918 0.8186
0.5720 0.8082 0.1814

No. 6
KAcSiS4 (PBE, relaxed); SG = No. 11; crystal system = monoclinic; N(E_F) = 0.00 states/eV/atom
1.0
6.7846 0.0000 0.0000
0.0000 6.6911 0.0000
-2.4664 0.0000 8.6037
K Ac Si S
2 2 2 8
Direct
0.2284 0.2500 0.4368
0.7716 0.7500 0.5632
0.2648 0.2500 0.9484
0.7352 0.7500 0.0516
0.2887 0.7500 0.1901
0.7113 0.2500 0.8099
0.0917 0.7500 0.3363
0.1240 0.7500 0.9466
0.4912 0.0006 0.2294
0.4912 0.4994 0.2294
0.5088 0.5006 0.7706
0.5088 0.9994 0.7706
0.8760 0.2500 0.0534
0.9083 0.2500 0.6637

No. 7
K2Ac2SiS6 (PBE, relaxed); SG = No. 12; crystal system = monoclinic
1.0
3.6463 -6.1367 0.0000
3.6463 6.1367 0.0000
-2.2497 0.0000 7.5254
K Ac Si S
2 2 1 6
Direct
0.1634 0.8366 0.0000
0.8366 0.1634 0.0000
0.3335 0.6665 0.5000
0.6665 0.3335 0.5000
0.0000 0.0000 0.5000
0.0585 0.3388 0.6882
0.2030 0.2030 0.3177
0.3388 0.0585 0.6882
0.6612 0.9415 0.3118
0.7970 0.7970 0.6823
0.9415 0.6612 0.3118

No. 8
K3AcSm2S6 (PBE, relaxed); SG = No. 12; crystal system = monoclinic; N(E_F) = 0.00 states/eV/atom
1.0
3.6731 -6.3628 0.0000
3.6731 6.3628 0.0000
-2.4527 0.0000 7.4033
K Ac Sm S
3 1 2 6
Direct
0.0000 0.0000 0.0000
0.3337 0.6663 0.0000
0.6663 0.3337 0.0000
0.5000 0.5000 0.5000
0.1668 0.8332 0.5000
0.8332 0.1668 0.5000
0.0834 0.4307 0.2925
0.2221 0.2221 0.7081
0.4307 0.0834 0.2925
0.5693 0.9166 0.7075
0.7779 0.7779 0.2919
0.9166 0.5693 0.7075

No. 9
K2Ac2SnS6 (PBE, relaxed); SG = No. 12; crystal system = monoclinic
1.0
3.7033 -6.2841 0.0000
3.7033 6.2841 0.0000
-2.3246 0.0000 7.5940
K Ac Sn S
2 2 1 6
Direct
0.1654 0.8346 0.0000
0.8346 0.1654 0.0000
0.3336 0.6664 0.5000
0.6664 0.3336 0.5000
0.0000 0.0000 0.5000
0.0618 0.3659 0.7000
0.2232 0.2232 0.3027
0.3659 0.0618 0.7000
0.6341 0.9382 0.3000
0.7768 0.7768 0.6973
0.9382 0.6341 0.3000

No. 10
K3Ac3SnS8 (PBE, relaxed); SG = No. 166; crystal system = trigonal
1.0
4.3022 2.4839 7.5310
-4.3022 2.4839 7.5310
0.0000 -4.9677 7.5310
K Ac Sn S
3 3 1 8
Direct
0.0000 0.5000 0.5000
0.5000 0.0000 0.5000
0.5000 0.5000 0.0000
0.0000 0.0000 0.5000
0.0000 0.5000 0.0000
0.5000 0.0000 0.0000
0.5000 0.5000 0.5000
0.2379 0.2379 0.2379
0.2697 0.7140 0.7140
0.2860 0.2860 0.7303
0.2860 0.7303 0.2860
0.7140 0.2697 0.7140
0.7140 0.7140 0.2697
0.7303 0.2860 0.2860
0.7621 0.7621 0.7621

No. 11
K2AcSnS4 (PBE, relaxed); SG = No. 74; crystal system = orthorhombic; N(E_F) = 0.42 states/eV/atom
1.0
-4.2587 4.4113 6.1089
4.2587 -4.4113 6.1089
4.2587 4.4113 -6.1089
K Ac Sn S
4 2 2 8
Direct
0.0000 0.0000 0.0000
0.5000 0.0000 0.0000
0.5000 0.0000 0.5000
0.5000 0.5000 0.5000
0.0000 0.5000 0.5000
0.5000 0.5000 0.0000
0.0000 0.0000 0.5000
0.0000 0.5000 0.0000
0.2049 0.7439 0.4610
0.2171 0.2561 0.9610
0.2315 0.2478 0.5163
0.2315 0.7152 0.9837
0.7685 0.2848 0.0163
0.7685 0.7522 0.4837
0.7829 0.7439 0.0390
0.7951 0.2561 0.5390

No. 12
K3Ac2SnS6 (PBE, relaxed); SG = No. 12; crystal system = monoclinic; N(E_F) = 0.54 states/eV/atom
1.0
3.7316 -6.4639 0.0000
3.7316 6.4639 0.0000
-2.4858 0.0000 7.4351
K Ac Sn S
3 2 1 6
Direct
0.0000 0.0000 0.0000
0.3360 0.6640 0.0000
0.6640 0.3360 0.0000
0.1669 0.8331 0.5000
0.8331 0.1669 0.5000
0.5000 0.5000 0.5000
0.1135 0.4295 0.2888
0.2538 0.2538 0.7088
0.4295 0.1135 0.2888
0.5705 0.8865 0.7112
0.7462 0.7462 0.2912
0.8865 0.5705 0.7112

No. 13
K4Ac3SnS8 (PBE, relaxed); SG = No. 166; crystal system = trigonal; N(E_F) = 0.14 states/eV/atom
1.0
4.3400 2.5057 7.4354
-4.3400 2.5057 7.4354
0.0000 -5.0114 7.4354
K Ac Sn S
4 3 1 8
Direct
0.0000 0.0000 0.0000
0.0000 0.5000 0.5000
0.5000 0.0000 0.5000
0.5000 0.5000 0.0000
0.0000 0.0000 0.5000
0.0000 0.5000 0.0000
0.5000 0.0000 0.0000
0.5000 0.5000 0.5000
0.2390 0.2390 0.2390
0.2520 0.7286 0.7286
0.2714 0.2714 0.7480
0.2714 0.7480 0.2714
0.7286 0.2520 0.7286
0.7286 0.7286 0.2520
0.7480 0.2714 0.2714
0.7610 0.7610 0.7610

No. 14
KAcSnS4 (PBE, relaxed); SG = No. 11; crystal system = monoclinic; N(E_F) = 0.00 states/eV/atom
1.0
7.1324 0.0000 0.0000
0.0000 6.9780 0.0000
-2.5493 0.0000 8.6229
K Ac Sn S
2 2 2 8
Direct
0.2316 0.2500 0.4337
0.7684 0.7500 0.5663
0.2694 0.2500 0.9423
0.7306 0.7500 0.0577
0.2710 0.7500 0.1857
0.7290 0.2500 0.8143
0.0647 0.7500 0.3515
0.0729 0.7500 0.9186
0.5001 0.0119 0.2209
0.5001 0.4881 0.2209
0.4999 0.5119 0.7791
0.4999 0.9881 0.7791
0.9271 0.2500 0.0814
0.9353 0.2500 0.6485

No. 15
KSr2AcS4 (PBE, relaxed); SG = No. 10; crystal system = monoclinic; N(E_F) = 0.00 states/eV/atom
1.0
7.4864 0.0000 0.0000
0.0000 4.3618 0.0000
-2.3921 0.0000 7.1153
K Sr Ac S
1 2 1 4
Direct
0.0000 0.0000 0.0000
0.5000 0.0000 0.5000
0.5000 0.5000 0.0000
0.0000 0.5000 0.5000
0.2498 0.0000 0.7397
0.2611 0.5000 0.2697
0.7389 0.5000 0.7303
0.7502 0.0000 0.2603

No. 16
K2Ac2TaS6 (PBE, relaxed); SG = No. 12; crystal system = monoclinic; N(E_F) = 0.53 states/eV/atom
1.0
3.6480 -6.1608 0.0000
3.6480 6.1608 0.0000
-2.3619 0.0000 7.5348
K Ac Ta S
2 2 1 6
Direct
0.1668 0.8332 0.0000
0.8332 0.1668 0.0000
0.3354 0.6646 0.5000
0.6646 0.3354 0.5000
0.0000 0.0000 0.5000
0.0615 0.3532 0.6951
0.2176 0.2176 0.3031
0.3532 0.0615 0.6951
0.6468 0.9385 0.3049
0.7824 0.7824 0.6969
0.9385 0.6468 0.3049

No. 17
KAcTb4S8 (PBE, relaxed); SG = No. 160; crystal system = trigonal; N(E_F) = 0.00 states/eV/atom
1.0
4.1264 2.3824 7.0474
-4.1264 2.3824 7.0474
0.0000 -4.7648 7.0474
K Ac Tb S
1 1 4 8
Direct
0.0000 0.0000 0.0000
0.6334 0.6334 0.6334
0.1171 0.6349 0.6349
0.2564 0.2564 0.2564
0.6349 0.1171 0.6349
0.6349 0.6349 0.1171
0.3788 0.3788 0.8644
0.3788 0.8644 0.3788
0.3871 0.3871 0.3871
0.4263 0.8755 0.8755
0.8624 0.8624 0.8624
0.8644 0.3788 0.3788
0.8755 0.4263 0.8755
0.8755 0.8755 0.4263

No. 18
K2AcTbS4 (PBE, relaxed); SG = No. 10; crystal system = monoclinic; N(E_F) = 0.00 states/eV/atom
1.0
7.3782 0.0000 0.0000
0.0000 4.2519 0.0000
-2.4477 0.0000 7.4054
K Ac Tb S
2 1 1 4
Direct
0.0000 0.0000 0.0000
0.5000 0.5000 0.0000
0.0000 0.5000 0.5000
0.5000 0.0000 0.5000
0.2547 0.0000 0.7108
0.2803 0.5000 0.2961
0.7197 0.5000 0.7039
0.7453 0.0000 0.2892

No. 19
K3Ac3TcS8 (PBE, relaxed); SG = No. 166; crystal system = trigonal
1.0
4.2422 2.4492 7.5083
-4.2422 2.4492 7.5083
0.0000 -4.8985 7.5083
K Ac Tc S
3 3 1 8
Direct
0.0000 0.5000 0.5000
0.5000 0.0000 0.5000
0.5000 0.5000 0.0000
0.0000 0.0000 0.5000
0.0000 0.5000 0.0000
0.5000 0.0000 0.0000
0.5000 0.5000 0.5000
0.2398 0.2398 0.2398
0.2786 0.7053 0.7053
0.2947 0.2947 0.7214
0.2947 0.7214 0.2947
0.7053 0.2786 0.7053
0.7053 0.7053 0.2786
0.7214 0.2947 0.2947
0.7602 0.7602 0.7602

No. 20
K2AcTeS4 (PBE, relaxed); SG = No. 15; crystal system = monoclinic; N(E_F) = 0.20 states/eV/atom
1.0
6.0922 -6.0184 0.0000
6.0922 6.0184 0.0000
-5.8064 0.0000 6.5346
K Ac Te S
4 2 2 8
Direct
0.0000 0.0000 0.0000
0.0000 0.0000 0.5000
0.0000 0.5000 0.0000
0.5000 0.0000 0.5000
0.5000 0.5000 0.0000
0.5000 0.5000 0.5000
0.0000 0.5000 0.5000
0.5000 0.0000 0.0000
0.2153 0.7025 0.4833
0.2523 0.2965 0.5371
0.2965 0.2523 0.0371
0.2975 0.7847 0.0167
0.7025 0.2153 0.9833
0.7035 0.7477 0.9629
0.7477 0.7035 0.4629
0.7847 0.2975 0.5167

No. 21
K2AcThS4 (PBE, relaxed); SG = No. 10; crystal system = monoclinic; N(E_F) = 0.56 states/eV/atom
1.0
7.4156 0.0000 0.0000
0.0000 4.2562 0.0000
-2.4423 0.0000 7.4389
K Ac Th S
2 1 1 4
Direct
0.0000 0.0000 0.0000
0.5000 0.5000 0.0000
0.0000 0.5000 0.5000
0.5000 0.0000 0.5000
0.2564 0.0000 0.7174
0.2780 0.5000 0.2900
0.7220 0.5000 0.7100
0.7436 0.0000 0.2826

Number 1: total magnetic moment 0.00 μB per formula unit, formation energy from raw total energies -1.27 eV/atom. Number 2: total magnetic moment 0.00 μB per formula unit, formation energy from raw total energies -1.81 eV/atom. Number 3: total magnetic moment 0.00 μB per formula unit, formation energy from raw total energies -1.61 eV/atom. Number 4: total magnetic moment 0.00 μB per formula unit, formation energy from raw total energies -1.85 eV/atom. Number 5: total magnetic moment 0.00 μB per formula unit, formation energy from raw total energies -1.00 eV/atom. Number 6: total magnetic moment 0.00 μB per formula unit, formation energy from raw total energies -1.49 eV/atom. Number 7: total magnetic moment 0.00 μB per formula unit, formation energy from raw total energies -1.35 eV/atom. Number 8: total magnetic moment 0.00 μB per formula unit, formation energy from raw total energies -1.87 eV/atom. Number 9: total magnetic moment 0.00 μB per formula unit, formation energy from raw total energies -1.41 eV/atom. Number 10: total magnetic moment 0.00 μB per formula unit, formation energy from raw total energies -1.55 eV/atom. Number 11: total magnetic moment 0.00 μB per formula unit, formation energy from raw total energies -1.27 eV/atom. Number 12: total magnetic moment 0.00 μB per formula unit, formation energy from raw total energies -1.47 eV/atom. Number 13: total magnetic moment 0.00 μB per formula unit, formation energy from raw total energies -1.58 eV/atom. Number 14: total magnetic moment 0.00 μB per formula unit, formation energy from raw total energies -1.27 eV/atom. Number 15: total magnetic moment 0.00 μB per formula unit, formation energy from raw total energies -1.98 eV/atom. Number 16: total magnetic moment 1.03 μB per formula unit, formation energy from raw total energies -1.53 eV/atom. Number 17: total magnetic moment 0.00 μB per formula unit, formation energy from raw total energies -1.94 eV/atom. Number 18: total magnetic moment 0.00 μB per formula unit, formation energy from raw total energies -1.87 eV/atom. Number 19: total magnetic moment 3.00 μB per formula unit, formation energy from raw total energies -1.49 eV/atom. Number 20: total magnetic moment 0.00 μB per formula unit, formation energy from raw total energies -1.13 eV/atom. Number 21: total magnetic moment 0.00 μB per formula unit, formation energy from raw total energies -1.76 eV/atom.